BaCa2Ni after structural relaxation. Source: the Alexandria database, functional PBE-GGA.

Calculated values
energy of formation	0.342	eV per atom
total moment	0.00	μB per formula unit
ρ	3.4	g/cm3
symmetry	I4/mmm (139)

Structure (CIF):
```
data_BaCa2Ni
_space_group_name_H-M_alt 'P 1'
_space_group_IT_number 1
_space_group_name_Hall 'P 1'
_cell_length_a 6.747
_cell_length_b 6.747
_cell_length_c 6.747
_cell_angle_alpha 138.45
_cell_angle_beta 138.45
_cell_angle_gamma 60.21
loop_
_atom_site_label
_atom_site_fract_x
_atom_site_fract_y
_atom_site_fract_z
Ba1 0.000 0.000 0.000
Ca1 0.250 0.750 0.500
Ca2 0.750 0.250 0.500
Ni1 0.500 0.500 0.000
```